KAl3 (PBE, optimized geometry); N(E_F) = 0.854 states/eV per cell; mass density = 2.232 g cm⁻³; space group = C2/m (12); total DFT energy (no corrections) = -10.7 eV/cell
1.0
4.988 -0.062 0.098
-0.025 4.989 0.098
-2.409 -2.392 3.494
K Al
1 3
Direct
0.000 0.000 0.000
0.266 0.734 0.500
0.500 0.500 0.000
0.734 0.266 0.500

---

K4Al (PBE, optimized geometry); N(E_F) = 4.484 states/eV per cell; mass density = 0.943 g cm⁻³; space group = Pm-3m (221); total DFT energy (no corrections) = -6.8 eV/cell
1.0
6.860 0.000 0.000
0.000 6.860 0.000
0.000 0.000 6.860
K Al
4 1
Direct
0.000 0.000 0.000
0.500 0.000 0.500
0.000 0.500 0.500
0.500 0.500 0.000
0.500 0.500 0.500

---

KAl2 (PBE, optimized geometry); N(E_F) = 8.138 states/eV per cell; mass density = 1.292 g cm⁻³; space group = Pa-3 (205); total DFT energy (no corrections) = -22.2 eV/cell
1.0
-0.251 -7.793 -0.612
6.995 0.049 -3.498
3.490 -0.660 6.968
K Al
4 8
Direct
0.000 0.000 0.000
0.500 0.500 0.000
0.500 0.000 0.500
0.000 0.500 0.500
0.596 0.596 0.404
0.404 0.404 0.596
0.096 0.904 0.596
0.904 0.096 0.404
0.404 0.096 0.096
0.596 0.904 0.904
0.904 0.404 0.904
0.096 0.596 0.096

---

KAl2 (PBE, optimized geometry); N(E_F) = 0.822 states/eV per cell; mass density = 2.150 g cm⁻³; space group = P-3m1 (164); total DFT energy (no corrections) = -7.4 eV/cell
1.0
-0.093 2.804 -1.467
-0.879 -2.622 -1.540
-7.789 1.094 2.584
K Al
1 2
Direct
0.000 0.000 0.000
0.667 0.333 0.637
0.333 0.667 0.363

---

KAl2 (PBE, optimized geometry); N(E_F) = 3.028 states/eV per cell; mass density = 1.693 g cm⁻³; space group = I4/mcm (140); total DFT energy (no corrections) = -12.7 eV/cell
1.0
0.946 -2.279 5.824
-5.614 0.833 -2.793
2.597 -4.504 -3.603
K Al
2 4
Direct
0.250 0.250 0.000
0.750 0.750 0.000
0.614 0.886 0.500
0.386 0.114 0.500
0.886 0.386 0.271
0.114 0.614 0.729

---

KLa3Al (PBE, optimized geometry); N(E_F) = 7.016 states/eV per cell; mass density = 4.744 g cm⁻³; space group = Pm-3m (221); total DFT energy (no corrections) = -14.3 eV/cell
1.0
-4.585 -3.014 -0.680
0.146 -1.427 5.339
-3.086 4.410 1.263
K Al La
1 1 3
Direct
0.000 0.000 0.000
0.500 0.500 0.500
0.000 0.500 0.000
0.000 0.000 0.500
0.500 0.000 0.000

---

K2LaAl (PBE, optimized geometry); N(E_F) = 2.552 states/eV per cell; mass density = 2.813 g cm⁻³; space group = I-4m2 (119); total DFT energy (no corrections) = -9.4 eV/cell
1.0
5.884 -0.011 0.000
0.016 5.884 0.000
-2.949 -2.936 4.162
K Al La
2 1 1
Direct
0.000 0.000 0.000
0.250 0.750 0.500
0.750 0.250 0.500
0.500 0.500 0.000

---

KLaAl (PBE, optimized geometry); N(E_F) = 3.020 states/eV per cell; mass density = 2.939 g cm⁻³; space group = I4mm (107); total DFT energy (no corrections) = -9.4 eV/cell
1.0
8.485 0.005 -0.006
7.634 3.702 -0.012
0.851 0.199 3.691
K Al La
1 1 1
Direct
0.361 0.361 0.639
0.019 0.019 0.981
0.620 0.620 0.380